The following is a GGA-PBE calculation of a relaxed PaTcBi2O8 crystal, from Alexandria via LeMat-Bulk.

Cell lengths 5.2886, 5.2891, 6.6774 Å; angles 90.00, 90.00, 89.38 degrees
Atoms (fractional coordinates):
Bi1 0.5000 0.5000 0.7542
Bi2 0.5000 0.5000 0.2458
O1 0.8186 0.1822 0.2481
O2 0.8186 0.1822 0.7519
O3 0.1814 0.8178 0.2481
O4 0.3078 0.3073 0.5000
O5 0.7600 0.7612 0.0000
O6 0.2400 0.2388 0.0000
O7 0.1814 0.8178 0.7519
O8 0.6922 0.6927 0.5000
Tc1 0.0000 0.0000 0.0000
Pa1 0.0000 0.0000 0.5000

Properties
DFT total energy: -90.03 eV per cell
SG: Cmmm
Spin magnetization: 0.000 μB/atom